Run a
The following is a PBE-GGA calculation of a relaxed structure of K2BeB, from Alexandria via LeMat-Bulk.

Cell and atoms, written as POSCAR:
```
K2BeB
1.0
-6.012 6.012 1.839
6.012 -6.012 1.839
6.012 6.012 -1.839
K Be B
4 2 2
Cartesian
-0.418 3.006 0.460 K
3.006 5.594 1.379 K
0.418 9.018 0.460 K
-3.006 6.429 1.379 K
6.012 0.000 0.919 Be
0.000 0.000 1.839 Be
0.000 0.000 0.000 B
0.000 6.012 0.919 B
```


Run b
The following is a PBE-GGA calculation of a relaxed structure of K2BeB, from Alexandria via LeMat-Bulk.

Cell and atoms, written as POSCAR:
```
K2BeB
1.0
0.000 3.849 3.849
3.849 0.000 3.849
3.849 3.849 0.000
K Be B
2 1 1
Cartesian
1.924 1.924 1.924 K
5.773 5.773 5.773 K
0.000 0.000 0.000 Be
3.849 3.849 3.849 B
```


What should be chosen as the most stable of them? Choose run a.


Run a
The following is a PBE-GGA calculation of a relaxed structure of KBeB3, from Alexandria via LeMat-Bulk.

Cell and atoms, written as POSCAR:
```
KBeB3
1.0
4.026 0.000 0.000
0.000 4.026 0.000
0.000 0.000 4.026
K Be B
1 1 3
Cartesian
0.000 0.000 0.000 K
2.013 2.013 2.013 Be
0.000 2.013 2.013 B
2.013 0.000 2.013 B
2.013 2.013 0.000 B
```


Run b
The following is a PBE-GGA calculation of a relaxed structure of KBeB3, from Alexandria via LeMat-Bulk.

Cell and atoms, written as POSCAR:
```
KBeB3
1.0
4.770 0.000 0.000
0.000 4.770 0.000
0.000 0.000 4.770
K Be B
1 1 3
Cartesian
0.000 0.000 0.000 K
2.385 2.385 2.385 Be
0.000 0.000 2.385 B
0.000 2.385 0.000 B
2.385 0.000 0.000 B
```


What should be chosen as the most stable of them? Choose run a.


Run a
The following is a PBE-GGA calculation of a relaxed structure of KBe2B3O7, from Alexandria via LeMat-Bulk.

Cell and atoms, written as POSCAR:
```
KBe2B3O7
1.0
5.261 -4.503 0.000
5.261 4.503 0.000
-2.841 0.000 6.140
K Be B O
2 4 6 14
Cartesian
3.130 2.925 4.605 K
4.551 -2.925 1.535 K
3.181 2.614 0.959 Be
5.920 2.614 2.111 Be
1.761 -2.614 4.029 Be
4.499 -2.614 5.181 Be
2.106 0.159 1.115 B
0.686 -0.159 4.185 B
4.551 0.455 1.535 B
3.130 -0.455 4.605 B
6.995 0.159 1.956 B
5.574 -0.159 5.026 B
2.004 1.472 0.677 O
-0.378 0.653 4.285 O
1.042 -0.653 1.215 O
4.551 1.832 1.535 O
1.977 0.310 4.517 O
0.583 -1.472 3.747 O
3.398 -0.310 1.446 O
4.283 0.310 4.694 O
7.097 1.472 2.394 O
5.703 -0.310 1.624 O
3.130 -1.832 4.605 O
6.638 0.653 4.925 O
8.059 -0.653 1.855 O
5.677 -1.472 5.464 O
```


Run b
The following is a PBE-GGA calculation of a relaxed structure of KBe2B3O7, from Alexandria via LeMat-Bulk.

Cell and atoms, written as POSCAR:
```
KBe2B3O7
1.0
7.712 0.000 0.000
0.000 17.735 0.000
0.000 0.000 4.413
K Be B O
4 8 12 28
Cartesian
0.000 2.409 0.000 K
0.000 11.482 2.601 K
3.856 6.253 0.395 K
3.856 15.326 2.206 K
1.362 8.205 3.017 Be
1.452 17.001 0.107 Be
2.404 0.733 2.314 Be
2.494 9.530 0.810 Be
5.218 9.530 0.810 Be
5.308 0.733 2.314 Be
6.260 17.001 0.107 Be
6.350 8.205 3.017 Be
0.000 8.703 0.788 B
0.000 17.386 2.304 B
1.234 14.465 4.186 B
1.283 5.450 2.572 B
2.573 12.285 0.366 B
2.622 3.270 1.979 B
3.856 0.348 0.098 B
3.856 9.031 2.994 B
5.090 3.270 1.979 B
5.138 12.285 0.366 B
6.429 5.450 2.572 B
6.478 14.465 4.186 B
0.000 4.908 2.417 O
0.000 8.679 3.824 O
0.000 14.728 3.567 O
0.000 17.255 0.924 O
1.197 8.744 1.471 O
1.210 17.506 2.971 O
1.522 13.110 4.344 O
1.614 6.644 3.058 O
1.838 2.254 2.370 O
2.018 15.480 0.164 O
2.241 11.091 0.852 O
2.334 4.625 2.138 O
2.645 0.229 0.764 O
2.659 8.991 3.677 O
3.856 0.479 3.130 O
3.856 3.006 1.361 O
3.856 9.056 1.618 O
3.856 12.827 0.211 O
5.053 8.991 3.677 O
5.066 0.229 0.764 O
5.378 4.625 2.138 O
5.470 11.091 0.852 O
5.694 15.480 0.164 O
5.874 2.254 2.370 O
6.097 6.644 3.058 O
6.190 13.110 4.344 O
6.501 17.506 2.971 O
6.515 8.744 1.471 O
```


What should be chosen as the most stable of them? Choose run a.


Run a
The following is a PBE-GGA calculation of a relaxed structure of LaBeB, from Alexandria via LeMat-Bulk.

Cell and atoms, written as POSCAR:
```
LaBeB
1.0
5.329 0.000 0.000
0.000 3.144 0.000
0.000 0.000 11.624
La Be B
4 4 4
Cartesian
0.605 0.786 1.609 La
2.059 2.358 7.421 La
3.269 0.786 4.203 La
4.724 2.358 10.015 La
0.702 2.358 4.464 Be
1.962 0.786 10.276 Be
3.366 2.358 1.348 Be
4.627 0.786 7.160 Be
0.396 0.786 5.604 B
2.268 2.358 11.416 B
3.061 0.786 0.208 B
4.932 2.358 6.020 B
```


Run b
The following is a PBE-GGA calculation of a relaxed structure of LaBeB, from Alexandria via LeMat-Bulk.

Cell and atoms, written as POSCAR:
```
LaBeB
1.0
3.733 0.000 0.000
0.000 3.212 0.000
-0.842 0.000 8.681
La Be B
2 2 2
Cartesian
0.565 0.803 2.461 La
2.326 2.409 6.220 La
0.560 0.803 8.064 Be
2.331 2.409 0.617 Be
0.429 2.409 0.149 B
2.462 0.803 8.532 B
```


Run c
The following is a PBE-GGA calculation of a relaxed structure of LaBeB, from Alexandria via LeMat-Bulk.

Cell and atoms, written as POSCAR:
```
LaBeB
1.0
3.450 0.000 0.000
-1.718 3.447 0.000
-0.114 -0.456 9.112
La Be B
2 2 2
Cartesian
0.000 0.000 0.000 La
-0.004 1.546 5.154 La
0.000 1.931 2.117 Be
1.723 0.264 3.134 Be
1.724 1.342 1.551 B
1.725 2.283 3.033 B
```


Run d
The following is a PBE-GGA calculation of a relaxed structure of LaBeB, from Alexandria via LeMat-Bulk.

Cell and atoms, written as POSCAR:
```
LaBeB
1.0
0.000 2.781 5.201
1.836 0.000 5.201
1.836 2.781 0.000
La Be B
1 1 1
Cartesian
0.000 0.000 0.000 La
1.836 2.781 7.640 Be
1.836 2.781 2.922 B
```


What should be chosen as the most stable of them? Choose run b.


Run a
The following is a PBE-GGA calculation of a relaxed structure of LaBeB3, from Alexandria via LeMat-Bulk.

Cell and atoms, written as POSCAR:
```
LaBeB3
1.0
4.726 0.000 0.000
0.000 4.726 0.000
0.000 0.000 4.726
La Be B
1 1 3
Cartesian
0.000 0.000 0.000 La
2.363 2.363 2.363 Be
0.000 0.000 2.363 B
0.000 2.363 0.000 B
2.363 0.000 0.000 B
```


Run b
The following is a PBE-GGA calculation of a relaxed structure of LaBeB3, from Alexandria via LeMat-Bulk.

Cell and atoms, written as POSCAR:
```
LaBeB3
1.0
3.975 0.000 0.000
0.000 3.975 0.000
0.000 0.000 3.975
La Be B
1 1 3
Cartesian
0.000 0.000 0.000 La
1.987 1.987 1.987 Be
0.000 1.987 1.987 B
1.987 0.000 1.987 B
1.987 1.987 0.000 B
```


What should be chosen as the most stable of them? Choose run b.


Run a
The following is a PBE-GGA calculation of a relaxed structure of LaTa2BeB, from Alexandria via LeMat-Bulk.

Cell and atoms, written as POSCAR:
```
LaTa2BeB
1.0
4.635 0.000 0.000
0.000 4.635 0.000
0.000 0.000 3.828
La Ta Be B
1 2 1 1
Cartesian
0.000 0.000 0.000 La
0.000 2.318 1.914 Ta
2.318 0.000 1.914 Ta
2.318 2.318 0.000 Be
2.318 2.318 1.914 B
```


Run b
The following is a PBE-GGA calculation of a relaxed structure of LaTa2BeB, from Alexandria via LeMat-Bulk.

Cell and atoms, written as POSCAR:
```
LaTa2BeB
1.0
4.402 0.000 0.000
0.000 4.402 0.000
0.000 0.000 5.099
La Ta Be B
1 2 1 1
Cartesian
0.000 0.000 0.000 La
0.000 2.201 2.549 Ta
2.201 0.000 2.549 Ta
2.201 2.201 0.000 Be
0.000 0.000 2.549 B
```


What should be chosen as the most stable of them? Choose run a.


Run a
The following is a PBE-GGA calculation of a relaxed structure of LiBe3B3, from Alexandria via LeMat-Bulk.

Cell and atoms, written as POSCAR:
```
LiBe3B3
1.0
6.859 0.000 0.000
-3.430 5.940 0.000
0.000 0.000 2.943
Li Be B
2 6 6
Cartesian
0.000 3.960 0.736 Li
3.430 1.980 2.207 Li
-1.993 4.535 2.207 Be
0.499 1.946 2.207 Be
1.935 0.541 0.736 Be
1.495 5.399 2.207 Be
2.931 3.994 0.736 Be
5.423 1.405 0.736 Be
-1.374 2.727 2.207 B
-0.381 5.767 2.207 B
1.674 2.553 0.736 B
1.755 3.387 2.207 B
3.811 0.173 0.736 B
4.803 3.214 0.736 B
```


Run b
The following is a PBE-GGA calculation of a relaxed structure of LiBe3B3, from Alexandria via LeMat-Bulk.

Cell and atoms, written as POSCAR:
```
LiBe3B3
1.0
5.368 0.000 0.000
0.000 5.368 0.000
0.000 0.000 5.368
Li Be B
2 6 6
Cartesian
0.000 0.000 0.000 Li
2.684 2.684 2.684 Li
0.000 1.342 2.684 Be
0.000 4.026 2.684 Be
1.342 2.684 0.000 Be
2.684 0.000 1.342 Be
2.684 0.000 4.026 Be
4.026 2.684 0.000 Be
0.000 2.684 1.342 B
0.000 2.684 4.026 B
1.342 0.000 2.684 B
2.684 1.342 0.000 B
2.684 4.026 0.000 B
4.026 0.000 2.684 B
```


What should be chosen as the most stable of them? Choose run a.


Run a
The following is a PBE-GGA calculation of a relaxed structure of LiBeB3, from Alexandria via LeMat-Bulk.

Cell and atoms, written as POSCAR:
```
LiBeB3
1.0
3.534 0.000 0.000
0.000 3.534 0.000
0.000 0.000 3.534
Li Be B
1 1 3
Cartesian
0.000 0.000 0.000 Li
1.767 1.767 1.767 Be
0.000 0.000 1.767 B
0.000 1.767 0.000 B
1.767 0.000 0.000 B
```


Run b
The following is a PBE-GGA calculation of a relaxed structure of LiBeB3, from Alexandria via LeMat-Bulk.

Cell and atoms, written as POSCAR:
```
LiBeB3
1.0
3.593 0.000 0.000
0.000 3.593 0.000
0.000 0.000 3.593
Li Be B
1 1 3
Cartesian
0.000 0.000 0.000 Li
1.797 1.797 1.797 Be
0.000 1.797 1.797 B
1.797 0.000 1.797 B
1.797 1.797 0.000 B
```


What should be chosen as the most stable of them? Choose run b.


Run a
The following is a PBE-GGA calculation of a relaxed structure of MgBeB2, from Alexandria via LeMat-Bulk.

Cell and atoms, written as POSCAR:
```
MgBeB2
1.0
0.000 2.659 2.659
2.659 0.000 2.659
2.659 2.659 0.000
Mg Be B
1 1 2
Cartesian
0.000 0.000 0.000 Mg
2.659 2.659 2.659 Be
1.329 1.329 1.329 B
3.988 3.988 3.988 B
```


Run b
The following is a PBE-GGA calculation of a relaxed structure of MgBeB2, from Alexandria via LeMat-Bulk.

Cell and atoms, written as POSCAR:
```
MgBeB2
1.0
-1.790 1.790 6.498
1.790 -1.790 6.498
1.790 1.790 -6.498
Mg Be B
2 2 4
Cartesian
1.790 0.895 1.624 Mg
0.000 0.895 4.873 Mg
1.790 -0.895 4.873 Be
0.000 2.685 1.624 Be
0.000 0.000 0.000 B
0.895 0.895 -3.249 B
0.895 -0.895 3.249 B
0.000 1.790 0.000 B
```


What should be chosen as the most stable of them? Choose run b.


Run a
The following is a PBE-GGA calculation of a relaxed structure of Mg2BeB2, from Alexandria via LeMat-Bulk.

Cell and atoms, written as POSCAR:
```
Mg2BeB2
1.0
5.642 0.000 0.000
0.000 5.642 0.000
0.000 0.000 3.594
Mg Be B
4 2 4
Cartesian
1.032 1.790 0.000 Mg
1.790 4.611 0.000 Mg
3.853 1.032 0.000 Mg
4.611 3.853 0.000 Mg
0.000 0.000 1.797 Be
2.821 2.821 1.797 Be
0.597 3.418 1.797 B
2.224 0.597 1.797 B
3.418 5.045 1.797 B
5.045 2.224 1.797 B
```


Run b
The following is a PBE-GGA calculation of a relaxed structure of Mg2BeB2, from Alexandria via LeMat-Bulk.

Cell and atoms, written as POSCAR:
```
Mg2BeB2
1.0
-1.862 1.862 4.688
1.862 -1.862 4.688
1.862 1.862 -4.688
Mg Be B
2 1 2
Cartesian
1.862 0.000 2.344 Mg
0.000 1.862 2.344 Mg
0.000 0.000 0.000 Be
0.000 0.000 3.901 B
0.000 0.000 5.474 B
```


What should be chosen as the most stable of them? Choose run a.